{"formula": "Pm6AlZn3", "functional": "GGA-PBE", "state": "relaxed", "dft_energy_ev_per_atom": -3.83, "magnetic_moment_mub_per_fu": 0.000, "dos_ef_per_ev_fu": 9.0, "lattice_angstrom": [[9.2999, 0.0000, 0.0000], [0.0000, 5.1589, 0.0000], [-3.2258, 0.0000, 11.0617]], "species": ["Pm", "Pm", "Pm", "Pm", "Pm", "Pm", "Pm", "Pm", "Pm", "Pm", "Pm", "Pm", "Al", "Al", "Zn", "Zn", "Zn", "Zn", "Zn", "Zn"], "frac_coords": [[0.0216, 0.2500, 0.4003], [0.1499, 0.7500, 0.1790], [0.2393, 0.2500, 0.9962], [0.3464, 0.7500, 0.8241], [0.3762, 0.2500, 0.3436], [0.3852, 0.2500, 0.6209], [0.6148, 0.7500, 0.3791], [0.6238, 0.7500, 0.6564], [0.6536, 0.2500, 0.1759], [0.7607, 0.7500, 0.0038], [0.8501, 0.2500, 0.8210], [0.9784, 0.7500, 0.5997], [0.4515, 0.7500, 0.1072], [0.5485, 0.2500, 0.8928], [0.0333, 0.7500, 0.8814], [0.1214, 0.2500, 0.7214], [0.2718, 0.7500, 0.4702], [0.7282, 0.2500, 0.5298], [0.8786, 0.7500, 0.2786], [0.9667, 0.2500, 0.1186]]}